Arrangement a

Here is crystalline LaZrSe at its relaxed geometry from Alexandria via LeMat-Bulk. Energies are from PBE-GGA.

Calculated values
The crystal system is cubic. The total moment comes out at 4.00 μB/f.u. Its symmetry is F-43m (216).

Cell lengths 5.1567, 5.1567, 5.1567 Å; angles 60.00, 60.00, 60.00 degrees
Closest atoms and distances in Å follow each position.
Atoms (fractional coordinates):
La 0.7500 0.7500 0.7500  4 Zr 3.16, 4 Se 3.16
Se 0.0000 0.0000 0.0000  4 La 3.16
Zr 0.5000 0.5000 0.5000  4 La 3.16


Arrangement b

Here is crystalline LaZrSe at its relaxed geometry from Alexandria via LeMat-Bulk. Energies are from PBE-GGA.

Calculated values
The crystal system is hexagonal. The total moment comes out at 0.01 μB/f.u. Its symmetry is P-6m2 (187).

Cell lengths 4.6875, 4.6875, 4.1251 Å; angles 90.00, 90.00, 120.00 degrees
Closest atoms and distances in Å follow each position.
Atoms (fractional coordinates):
Se 0.6667 0.3333 0.4999  3 Zr 2.71
La 0.0000 0.0000 0.0001  6 Se 3.40, 6 Zr 3.40
Zr 0.3333 0.6667 0.5000  3 Se 2.71


Least stable: arrangement a


Arrangement a

Here is crystalline LaZrSe3 at its relaxed geometry from Alexandria via LeMat-Bulk. Energies are from PBE-GGA.

Calculated values
The crystal system is monoclinic. The total moment comes out at 0.00 μB/f.u. Its symmetry is C2/m (12).

Cell lengths 3.9405, 7.7151, 9.2038 Å; angles 93.31, 102.35, 104.81 degrees
Closest atoms and distances in Å follow each position.
Atoms (fractional coordinates):
Se 0.6145 0.3112 0.0010  1 Zr 2.72, 2 La 2.95
Se 0.8821 0.2346 0.6126  1 Zr 2.72, 2 La 2.95
Se 0.4102 0.5457 0.3580  3 Zr 2.72
Se 0.0863 0.0001 0.2556  3 Zr 2.72
Se 0.1939 0.8282 0.6433  2 Zr 2.79
Se 0.3026 0.7176 0.9704  2 Zr 2.79
La 0.5763 0.5148 0.7206  8 Se 2.95-3.30
La 0.9202 0.0310 0.8930  8 Se 2.95-3.30
Zr 0.6328 0.9081 0.4408  6 Se 2.72-2.79
Zr 0.8638 0.6377 0.1728  6 Se 2.72-2.79


Arrangement b

Here is crystalline LaZrSe3 at its relaxed geometry from Alexandria via LeMat-Bulk. Energies are from PBE-GGA.

Calculated values
The crystal system is cubic. The total moment comes out at 1.02 μB/f.u. Its symmetry is Pm-3m (221).

Cell lengths 5.6102, 5.6102, 5.6102 Å; angles 90.00, 90.00, 90.00 degrees
Closest atoms and distances in Å follow each position.
Atoms (fractional coordinates):
Se 0.0000 0.0000 0.5000  2 La 2.81
Se 0.5000 0.0000 0.0000  2 La 2.81
Se 0.0000 0.5000 0.0000  2 La 2.81
Zr 0.5000 0.5000 0.5000  12 Se 3.97
La 0.0000 0.0000 0.0000  6 Se 2.81


Least stable: arrangement b


Arrangement a

Here is crystalline LaZrSe3 at its relaxed geometry from Alexandria via LeMat-Bulk. Energies are from PBE-GGA.

Calculated values
The crystal system is orthorhombic. The total moment comes out at 0.00 μB/f.u. Its symmetry is Cmcm (63).

Cell lengths 5.2441, 7.4892, 7.3328 Å; angles 90.00, 110.96, 90.00 degrees
Closest atoms and distances in Å follow each position.
Atoms (fractional coordinates):
La 0.1912 0.2500 0.3823  7 Se 2.97-3.18
La 0.8088 0.7500 0.6177  7 Se 2.97-3.18
Se 0.0260 0.7500 0.0517  2 Zr 2.63
Se 0.6474 0.4775 0.2949  2 Zr 2.76, 1 La 3.01
Se 0.6474 0.0225 0.2949  2 Zr 2.76, 1 La 3.01
Se 0.3526 0.5225 0.7051  2 Zr 2.76, 1 La 3.01
Se 0.9740 0.2500 0.9483  2 Zr 2.63
Se 0.3526 0.9775 0.7051  2 Zr 2.76, 1 La 3.01
Zr 0.5114 0.7500 0.0224  6 Se 2.63-2.76
Zr 0.4886 0.2500 0.9776  6 Se 2.63-2.76


Arrangement b

Here is crystalline LaZrSe3 at its relaxed geometry from Alexandria via LeMat-Bulk. Energies are from PBE-GGA.

Calculated values
The crystal system is cubic. The total moment comes out at 0.00 μB/f.u. Its symmetry is Pm-3m (221).

Cell lengths 5.1756, 5.1756, 5.1756 Å; angles 90.00, 90.00, 90.00 degrees
Closest atoms and distances in Å follow each position.
Atoms (fractional coordinates):
Se 0.5000 0.0000 0.0000  2 Zr 2.59
Se 0.0000 0.0000 0.5000  2 Zr 2.59
Se 0.0000 0.5000 0.0000  2 Zr 2.59
Zr 0.0000 0.0000 0.0000  6 Se 2.59
La 0.5000 0.5000 0.5000  12 Se 3.66


Least stable: arrangement b


Arrangement a

Here is crystalline La2ZrSe5 at its relaxed geometry from Alexandria via LeMat-Bulk. Energies are from PBE-GGA.

Calculated values
The crystal system is orthorhombic. The total moment comes out at 0.00 μB/f.u. Its symmetry is Pnma (62).

Cell lengths 7.7865, 8.5840, 12.0890 Å; angles 90.00, 90.00, 90.00 degrees
Closest atoms and distances in Å follow each position.
Atoms (fractional coordinates):
La 0.4464 0.9992 0.3267  8 Se 3.04-3.19
La 0.5536 0.0008 0.6733  8 Se 3.04-3.19
La 0.9464 0.4992 0.1733  8 Se 3.04-3.19
La 0.4464 0.5008 0.3267  8 Se 3.04-3.19
La 0.0536 0.9992 0.8267  8 Se 3.04-3.19
La 0.5536 0.4992 0.6733  8 Se 3.04-3.19
La 0.0536 0.5008 0.8267  8 Se 3.04-3.19
La 0.9464 0.0008 0.1733  8 Se 3.04-3.19
Se 0.1760 0.0368 0.5761  2 Zr 2.70-2.88
Se 0.5548 0.2500 0.4950  1 Zr 2.87, 4 La 3.04-3.08
Se 0.8240 0.9632 0.4239  2 Zr 2.70-2.88
Se 0.6638 0.2500 0.2090  1 Zr 2.73
Se 0.1638 0.7500 0.2910  1 Zr 2.73
Se 0.1456 0.2500 0.3097  1 Zr 2.78, 2 La 3.11
Se 0.6760 0.9632 0.9239  2 Zr 2.70-2.88
Se 0.3362 0.7500 0.7910  1 Zr 2.73
Se 0.4452 0.7500 0.5050  1 Zr 2.87, 4 La 3.04-3.08
Se 0.3240 0.0368 0.0761  2 Zr 2.70-2.88
Se 0.0548 0.7500 0.0050  1 Zr 2.87, 4 La 3.04-3.08
Se 0.3240 0.4632 0.0761  2 Zr 2.70-2.88
Se 0.6760 0.5368 0.9239  2 Zr 2.70-2.88
Se 0.8544 0.7500 0.6903  1 Zr 2.78, 2 La 3.11
Se 0.1760 0.4632 0.5761  2 Zr 2.70-2.88
Se 0.8362 0.2500 0.7090  1 Zr 2.73
Se 0.8240 0.5368 0.4239  2 Zr 2.70-2.88
Se 0.6456 0.7500 0.1903  1 Zr 2.78, 2 La 3.11
Se 0.3544 0.2500 0.8097  1 Zr 2.78, 2 La 3.11
Se 0.9452 0.2500 0.9950  1 Zr 2.87, 4 La 3.04-3.08
Zr 0.4233 0.7500 0.0101  7 Se 2.70-2.88
Zr 0.9233 0.2500 0.4899  7 Se 2.70-2.88
Zr 0.0767 0.7500 0.5101  7 Se 2.70-2.88
Zr 0.5767 0.2500 0.9899  7 Se 2.70-2.88


Arrangement b

Here is crystalline La2ZrSe5 at its relaxed geometry from Alexandria via LeMat-Bulk. Energies are from PBE-GGA.

Calculated values
The crystal system is orthorhombic. The total moment comes out at 0.00 μB/f.u. Its symmetry is Cmcm (63).

Cell lengths 5.6167, 7.7766, 13.6624 Å; angles 90.00, 90.00, 111.17 degrees
Closest atoms and distances in Å follow each position.
Atoms (fractional coordinates):
Se 0.9504 0.9009 0.6239  1 Zr 2.62
Se 0.3005 0.6010 0.0888  1 Zr 2.76, 3 La 2.93-3.09
Se 0.0496 0.0991 0.1239  1 Zr 2.62
Se 0.6995 0.3990 0.5888  1 Zr 2.76, 3 La 2.93-3.09
Se 0.2742 0.5484 0.7500  2 Zr 2.87, 2 La 3.13
Se 0.7258 0.4516 0.2500  2 Zr 2.87, 2 La 3.13
Se 0.0496 0.0991 0.3761  1 Zr 2.62
Se 0.3005 0.6010 0.4112  1 Zr 2.76, 3 La 2.93-3.09
Se 0.9504 0.9009 0.8761  1 Zr 2.62
Se 0.6995 0.3990 0.9112  1 Zr 2.76, 3 La 2.93-3.09
Zr 0.1857 0.3714 0.2500  6 Se 2.62-2.87
Zr 0.8143 0.6286 0.7500  6 Se 2.62-2.87
La 0.8545 0.7089 0.0660  6 Se 2.93-3.13
La 0.8545 0.7089 0.4340  6 Se 2.93-3.13
La 0.1455 0.2911 0.9340  6 Se 2.93-3.13
La 0.1455 0.2911 0.5660  6 Se 2.93-3.13


Least stable: arrangement b


Arrangement a

Here is crystalline La2Si3 at its relaxed geometry from Alexandria via LeMat-Bulk. Energies are from PBE-GGA.

Calculated values
The crystal system is orthorhombic. The total moment comes out at 0.00 μB/f.u. Its symmetry is Fdd2 (43).

Cell lengths 9.1507, 8.2146, 5.7773 Å; angles 79.61, 62.00, 38.39 degrees
Closest atoms and distances in Å follow each position.
Atoms (fractional coordinates):
Si 0.4055 0.8490 0.9382  4 Si 2.61-2.89
Si 0.3140 0.1860 0.1860  4 Si 2.61-2.66
Si 0.0640 0.9360 0.9360  4 Si 2.61-2.66
Si 0.4010 0.8445 0.4428  4 Si 2.61-2.89
Si 0.8072 0.9382 0.8490  4 Si 2.61-2.89
Si 0.3118 0.4428 0.8445  4 Si 2.61-2.89
La 0.9823 0.4184 0.8584  9 Si 3.10-3.39
La 0.7409 0.8584 0.4184  9 Si 3.10-3.39
La 0.8316 0.2677 0.5091  9 Si 3.10-3.39
La 0.3916 0.5091 0.2677  9 Si 3.10-3.39


Arrangement b

Here is crystalline La2Si3 at its relaxed geometry from Alexandria via LeMat-Bulk. Energies are from PBE-GGA.

Calculated values
The crystal system is orthorhombic. The total moment comes out at 0.00 μB/f.u. Its symmetry is Imm2 (44).

Cell lengths 7.7918, 7.7918, 7.7918 Å; angles 150.18, 147.84, 44.43 degrees
Closest atoms and distances in Å follow each position.
Atoms (fractional coordinates):
Si 0.2975 0.7975 0.5000  3 Si 2.35-2.41
Si 0.4601 0.9601 0.5000  1 Si 2.35
Si 0.2050 0.2050 0.0000  2 Si 2.41
La 0.8755 0.3755 0.5000  10 Si 3.15-3.27
La 0.6259 0.6259 0.0000  8 Si 3.12-3.28


Least stable: arrangement a